Entry 1:
# TmZnSn (GGA-PBE, relaxed)
# ΔH_f (0 K) = -478 meV per atom
# M_tot = 0.00 μB/f.u.
data_TmZnSn
_chemical_formula_sum 'Tm2 Zn2 Sn2'
_cell_length_a 4.6845
_cell_length_b 4.6845
_cell_length_c 6.9229
_cell_angle_alpha 90.00
_cell_angle_beta 90.00
_cell_angle_gamma 120.00
_space_group_name_H-M_alt 'P 63/m m c'
_space_group_IT_number 194
_space_group_name_Hall '-P 6c 2c'
loop_
_atom_site_label
_atom_site_type_symbol
_atom_site_fract_x
_atom_site_fract_y
_atom_site_fract_z
Tm1 Tm 0.0000 0.0000 0.0000
Zn1 Zn 0.3333 0.6667 0.2500
Sn1 Sn 0.3333 0.6667 0.7500


Entry 2:
# DyInTc (GGA-PBE, relaxed)
# ΔH_f (0 K) = 5 meV per atom
# M_tot = 0.00 μB/f.u.
data_DyInTc
_chemical_formula_sum 'Dy2 In2 Tc2'
_cell_length_a 3.587
_cell_length_b 3.587
_cell_length_c 11.075
_cell_angle_alpha 90.00
_cell_angle_beta 90.00
_cell_angle_gamma 90.00
_space_group_name_H-M_alt 'P 4/n m m'
_space_group_IT_number 129
loop_
_space_group_symop_operation_xyz
'x,y,z'
'-x,-y,-z'
'-y+1/2,x,z'
'y+1/2,-x,-z'
'-x+1/2,-y+1/2,z'
'x+1/2,y+1/2,-z'
'y,-x+1/2,z'
'-y,x+1/2,-z'
'x+1/2,-y,-z'
'-x+1/2,y,z'
'-y,-x,-z'
'y,x,z'
'-x,y+1/2,-z'
'x,-y+1/2,z'
'y+1/2,x+1/2,-z'
'-y+1/2,-x+1/2,z'
loop_
_atom_site_label
_atom_site_type_symbol
_atom_site_fract_x
_atom_site_fract_y
_atom_site_fract_z
Dy1 Dy 0.250 0.250 0.221
In1 In 0.250 0.250 0.584
Tc1 Tc 0.250 0.750 0.000


Entry 3:
# ZrMn2Si (GGA-PBE, relaxed)
# M_tot = 5.41 μB/f.u.
# Energy relative to the elements, uncorrected = 0.19 eV per atom
data_ZrMn2Si
_chemical_formula_sum 'Zr3 Mn6 Si3'
_cell_length_a 2.9155
_cell_length_b 2.9155
_cell_length_c 25.5262
_cell_angle_alpha 90.00
_cell_angle_beta 90.00
_cell_angle_gamma 120.00
_space_group_name_H-M_alt 'R -3 m'
_space_group_IT_number 166
_space_group_name_Hall '-R 3 2"'
loop_
_atom_site_label
_atom_site_type_symbol
_atom_site_fract_x
_atom_site_fract_y
_atom_site_fract_z
Zr1 Zr 0.0000 0.0000 0.0000
Mn1 Mn 0.0000 0.0000 0.2400
Si1 Si 0.0000 0.0000 0.5000


Entry 4:
# Na8AsP2 (GGA-PBE, relaxed)
# ΔH_f (0 K) = -301 meV per atom
# M_tot = 0.01 μB/f.u.
data_Na8AsP2
_chemical_formula_sum 'Na16 As2 P4'
_cell_length_a 4.775
_cell_length_b 7.416
_cell_length_c 14.390
_cell_angle_alpha 90.00
_cell_angle_beta 90.00
_cell_angle_gamma 90.00
_space_group_name_H-M_alt 'I m m m'
_space_group_IT_number 71
_space_group_name_Hall '-I 2 2'
loop_
_atom_site_label
_atom_site_type_symbol
_atom_site_fract_x
_atom_site_fract_y
_atom_site_fract_z
Na1 Na 0.000 0.000 0.163
Na2 Na 0.000 0.226 0.342
Na3 Na 0.000 0.293 0.000
As1 As 0.000 0.500 0.500
P1 P 0.000 0.500 0.182


Entry 5:
# RbNaIn2Rh (GGA-PBE, relaxed)
# ΔH_f (0 K) = -158 meV per atom
# M_tot = 0.00 μB/f.u.
data_RbNaIn2Rh
_chemical_formula_sum 'Rb1 Na1 In2 Rh1'
_cell_length_a 5.209
_cell_length_b 5.209
_cell_length_c 5.710
_cell_angle_alpha 90.00
_cell_angle_beta 90.00
_cell_angle_gamma 90.00
_space_group_name_H-M_alt 'P 4/m m m'
_space_group_IT_number 123
_space_group_name_Hall '-P 4 2'
loop_
_atom_site_label
_atom_site_type_symbol
_atom_site_fract_x
_atom_site_fract_y
_atom_site_fract_z
Rb1 Rb 0.000 0.000 0.000
Na1 Na 0.500 0.500 0.000
In1 In 0.000 0.500 0.500
Rh1 Rh 0.500 0.500 0.500


Entry 6:
# Rb2NaPPt (GGA-PBE, relaxed)
# ΔH_f (0 K) = -222 meV per atom
# M_tot = 0.00 μB/f.u.
data_Rb2NaPPt
_chemical_formula_sum 'Rb2 Na1 P1 Pt1'
_cell_length_a 6.821
_cell_length_b 6.821
_cell_length_c 4.386
_cell_angle_alpha 90.00
_cell_angle_beta 90.00
_cell_angle_gamma 90.00
_space_group_name_H-M_alt 'P 4/m m m'
_space_group_IT_number 123
_space_group_name_Hall '-P 4 2'
loop_
_atom_site_label
_atom_site_type_symbol
_atom_site_fract_x
_atom_site_fract_y
_atom_site_fract_z
Rb1 Rb 0.000 0.500 0.000
Na1 Na 0.000 0.000 0.500
P1 P 0.500 0.500 0.000
Pt1 Pt 0.500 0.500 0.500


Entry 7:
# Li2NbBRh (GGA-PBE, relaxed)
# ΔH_f (0 K) = 1145 meV per atom
# M_tot = 0.00 μB/f.u.
data_Li2NbBRh
_chemical_formula_sum 'Li2 Nb1 B1 Rh1'
_cell_length_a 4.178
_cell_length_b 4.178
_cell_length_c 4.881
_cell_angle_alpha 90.00
_cell_angle_beta 90.00
_cell_angle_gamma 90.00
_space_group_name_H-M_alt 'P 4/m m m'
_space_group_IT_number 123
_space_group_name_Hall '-P 4 2'
loop_
_atom_site_label
_atom_site_type_symbol
_atom_site_fract_x
_atom_site_fract_y
_atom_site_fract_z
Li1 Li 0.000 0.500 0.000
Nb1 Nb 0.000 0.000 0.500
B1 B 0.500 0.500 0.500
Rh1 Rh 0.000 0.000 0.000


Entry 8:
# K3Pm3AsO8 (GGA-PBE, relaxed)
# M_tot = 0.00 μB/f.u.
# Energy relative to the elements, uncorrected = -2.30 eV per atom
data_K3Pm3AsO8
_chemical_formula_sum 'K9 Pm9 As3 O24'
_cell_length_a 6.9692
_cell_length_b 6.9692
_cell_length_c 18.9819
_cell_angle_alpha 90.00
_cell_angle_beta 90.00
_cell_angle_gamma 120.00
_space_group_name_H-M_alt 'R -3 m'
_space_group_IT_number 166
_space_group_name_Hall '-R 3 2"'
loop_
_atom_site_label
_atom_site_type_symbol
_atom_site_fract_x
_atom_site_fract_y
_atom_site_fract_z
K1 K 0.0000 0.5000 0.0000
Pm1 Pm 0.0000 0.5000 0.5000
As1 As 0.0000 0.0000 0.5000
O1 O 0.0000 0.0000 0.2297
O2 O 0.0430 0.5215 0.2239